Entry 1:
# PBE-GGA NaUAuSe3, relaxed
# DOS at the Fermi energy   1.08 states/eV per atom
# Energy relative to the elements, uncorrected   -0.8860 eV/atom
data_NaUAuSe3
_space_group_name_H-M_alt 'P 1 21/m 1'
_space_group_IT_number 11
_cell_length_a 8.000
_cell_length_b 4.117
_cell_length_c 9.741
_cell_angle_alpha 90.00
_cell_angle_beta 105.58
_cell_angle_gamma 90.00
loop_
_space_group_symop_operation_xyz
'x,y,z'
'-x,-y,-z'
'-x,y+1/2,-z'
'x,-y+1/2,z'
loop_
_atom_site_label
_atom_site_type_symbol
_atom_site_fract_x
_atom_site_fract_y
_atom_site_fract_z
Na1 Na 0.224 0.250 0.276
U1 U 0.320 0.750 0.831
Au1 Au 0.118 0.250 0.573
Se1 Se 0.078 0.250 0.838
Se2 Se 0.308 0.750 0.539
Se3 Se 0.422 0.750 0.137

=====

Entry 2:
# PBE-GGA HoCoH3, relaxed
# Calculated total energy   -4.820 eV/atom
# DOS at the Fermi energy   0.28 states/eV per atom
data_HoCoH3
_space_group_name_H-M_alt 'P m -3 m'
_space_group_IT_number 221
_space_group_name_Hall '-P 4 2 3'
_cell_length_a 3.477
_cell_length_b 3.477
_cell_length_c 3.477
_cell_angle_alpha 90.00
_cell_angle_beta 90.00
_cell_angle_gamma 90.00
loop_
_atom_site_label
_atom_site_type_symbol
_atom_site_fract_x
_atom_site_fract_y
_atom_site_fract_z
Ho1 Ho 0.000 0.000 0.000
Co1 Co 0.500 0.500 0.500
H1 H 0.000 0.500 0.500

=====

Entry 3:
# PBE-GGA K2LiAlCl6, relaxed
# DOS at the Fermi energy   0.00 states/eV per atom
# Energy relative to the elements, uncorrected   -1.7771 eV/atom
data_K2LiAlCl6
_space_group_name_H-M_alt 'P -3 m 1'
_space_group_IT_number 164
_space_group_name_Hall '-P 3 2"'
_cell_length_a 6.9915
_cell_length_b 6.9915
_cell_length_c 6.1261
_cell_angle_alpha 90.00
_cell_angle_beta 90.00
_cell_angle_gamma 120.00
loop_
_atom_site_label
_atom_site_type_symbol
_atom_site_fract_x
_atom_site_fract_y
_atom_site_fract_z
K1 K 0.3333 0.6667 0.3031
Li1 Li 0.0000 0.0000 0.0000
Al1 Al 0.0000 0.0000 0.5000
Cl1 Cl 0.1567 0.3133 0.7257

=====

Entry 4:
# PBE-GGA La2Tl2Cl, relaxed
# DOS at the Fermi energy   0.94 states/eV per atom
# Energy relative to the elements, uncorrected   -0.8112 eV/atom
data_La2Tl2Cl
_space_group_name_H-M_alt 'P 4/m b m'
_space_group_IT_number 127
_space_group_name_Hall '-P 4 2ab'
_cell_length_a 7.916
_cell_length_b 7.916
_cell_length_c 5.107
_cell_angle_alpha 90.00
_cell_angle_beta 90.00
_cell_angle_gamma 90.00
loop_
_atom_site_label
_atom_site_type_symbol
_atom_site_fract_x
_atom_site_fract_y
_atom_site_fract_z
La1 La 0.165 0.335 0.000
Tl1 Tl 0.140 0.640 0.500
Cl1 Cl 0.000 0.000 0.000

=====

Entry 5:
# PBE-GGA SiHgBr2, relaxed
# DOS at the Fermi energy   0.00 states/eV per atom
# Energy relative to the elements, uncorrected   -0.2338 eV/atom
# Distance to the lowest polymorph of the same formula   0.000 eV/atom
data_SiHgBr2
_space_group_name_H-M_alt 'P 1 m 1'
_space_group_IT_number 6
_cell_length_a 5.902
_cell_length_b 4.116
_cell_length_c 6.448
_cell_angle_alpha 90.00
_cell_angle_beta 116.45
_cell_angle_gamma 90.00
loop_
_space_group_symop_operation_xyz
'x,y,z'
'x,-y,z'
loop_
_atom_site_label
_atom_site_type_symbol
_atom_site_fract_x
_atom_site_fract_y
_atom_site_fract_z
Si1 Si 0.000 0.000 0.000
Hg1 Hg 0.379 0.500 0.165
Br1 Br 0.698 0.500 0.793
Br2 Br 0.940 0.000 0.333

=====

Entry 6:
# PBE-GGA SmPt3Rh, relaxed
# DOS at the Fermi energy   1.04 states/eV per atom
# Formation enthalpy at 0 K   0.1 meV per atom
data_SmPt3Rh
_space_group_name_H-M_alt 'C m c m'
_space_group_IT_number 63
_space_group_name_Hall '-C 2c 2'
_cell_length_a 7.363
_cell_length_b 12.817
_cell_length_c 4.848
_cell_angle_alpha 90.00
_cell_angle_beta 90.00
_cell_angle_gamma 90.00
loop_
_atom_site_label
_atom_site_type_symbol
_atom_site_fract_x
_atom_site_fract_y
_atom_site_fract_z
Sm1 Sm 0.000 0.116 0.250
Pt1 Pt 0.000 0.500 0.000
Pt2 Pt 0.173 0.267 0.750
Rh1 Rh 0.000 0.320 0.250

=====

Entry 7:
# PBE-GGA HoMnFe10, relaxed
# DOS at the Fermi energy   0.90 states/eV per atom
# Formation enthalpy at 0 K   143.3 meV per atom
data_HoMnFe10
_space_group_name_H-M_alt 'P m m m'
_space_group_IT_number 47
_cell_length_a 3.976
_cell_length_b 4.829
_cell_length_c 8.370
_cell_angle_alpha 90.00
_cell_angle_beta 90.00
_cell_angle_gamma 90.00
loop_
_space_group_symop_operation_xyz
'x,y,z'
'-x,-y,-z'
'-x,-y,z'
'x,y,-z'
'x,-y,-z'
'-x,y,z'
'-x,y,-z'
'x,-y,z'
loop_
_atom_site_label
_atom_site_type_symbol
_atom_site_fract_x
_atom_site_fract_y
_atom_site_fract_z
Ho1 Ho 0.000 0.000 0.000
Mn1 Mn 0.000 0.500 0.500
Fe1 Fe 0.000 0.000 0.342
Fe2 Fe 0.000 0.500 0.178
Fe3 Fe 0.500 0.000 0.500
Fe4 Fe 0.500 0.253 0.257
Fe5 Fe 0.500 0.500 0.000

=====

Entry 8:
# PBE-GGA KAlW, relaxed
# DOS at the Fermi energy   1.11 states/eV per atom
# Formation enthalpy at 0 K   1877.9 meV per atom
# Distance to the lowest polymorph of the same formula   1.126 eV/atom
data_KAlW
_space_group_name_H-M_alt 'F -4 3 m'
_space_group_IT_number 216
_space_group_name_Hall 'F -4 2 3'
_cell_length_a 6.875
_cell_length_b 6.875
_cell_length_c 6.875
_cell_angle_alpha 90.00
_cell_angle_beta 90.00
_cell_angle_gamma 90.00
loop_
_atom_site_label
_atom_site_type_symbol
_atom_site_fract_x
_atom_site_fract_y
_atom_site_fract_z
K1 K 0.000 0.000 0.000
Al1 Al 0.250 0.250 0.250
W1 W 0.000 0.000 0.500